Compound: Cs2CoCuF6
Source: Alexandria via LeMat-Bulk
Functional: PBE with a Hubbard U
Structure: optimized geometry

Cell and atoms, written as extended XYZ:
```
10
Lattice="-3.052 3.052 4.383 3.052 -3.052 4.383 3.052 3.052 -4.383" Properties=species:S:1:pos:R:3 pbc="T T T"
Cs 3.052 0.000 2.191
Cs 0.000 3.052 2.191
Co 0.000 0.000 0.000
Cu 0.000 0.000 4.383
F 1.428 1.428 0.000
F 1.625 -1.625 4.383
F 0.000 0.000 2.497
F 0.000 0.000 6.268
F -1.625 1.625 4.383
F 1.625 1.625 4.383
```

Summary:
VASP energy   -4.38 eV per atom
Magnetic moment   0.400 μB per atom